Record 1
# LaTbS2, optimized geometry, DFT PBE
data_LaTbS2
_cell_length_a 3.9614
_cell_length_b 3.9614
_cell_length_c 20.9549
_cell_angle_alpha 90.00
_cell_angle_beta 90.00
_cell_angle_gamma 120.00
_symmetry_space_group_name_H-M 'R 3 m'
_symmetry_Int_Tables_number 160
_symmetry_space_group_name_Hall 'R 3 -2"'
loop_
_atom_site_label
_atom_site_type_symbol
_atom_site_fract_x
_atom_site_fract_y
_atom_site_fract_z
La1 La 0.0000 0.0000 0.0000
Tb1 Tb 0.0000 0.0000 0.8225
S1 S 0.0000 0.0000 0.2379
S2 S 0.0000 0.0000 0.4180
# Excess energy over the best structure of this formula in the dataset (eV per atom): 0.067
# E_form (uncorrected) (eV/f.u.): -8.114

Record 2
# LaTbS3, optimized geometry, DFT PBE
data_LaTbS3
_cell_length_a 7.479
_cell_length_b 4.069
_cell_length_c 15.504
_cell_angle_alpha 90.00
_cell_angle_beta 90.00
_cell_angle_gamma 90.00
_symmetry_space_group_name_H-M 'P n m a'
_symmetry_Int_Tables_number 62
_symmetry_space_group_name_Hall '-P 2ac 2n'
loop_
_atom_site_label
_atom_site_type_symbol
_atom_site_fract_x
_atom_site_fract_y
_atom_site_fract_z
La1 La 0.143 0.250 0.201
Tb1 Tb 0.231 0.750 0.456
S1 S 0.013 0.250 0.396
S2 S 0.126 0.750 0.061
S3 S 0.151 0.250 0.784
# Excess energy over the best structure of this formula in the dataset (eV per atom): 0.000
# E_form (uncorrected) (eV/f.u.): -10.754

Record 3
# LaTb5S6, optimized geometry, DFT PBE
data_LaTb5S6
_cell_length_a 6.866
_cell_length_b 11.926
_cell_length_c 6.862
_cell_angle_alpha 90.00
_cell_angle_beta 109.74
_cell_angle_gamma 90.00
_symmetry_space_group_name_H-M 'C 1 2/m 1'
_symmetry_Int_Tables_number 12
_symmetry_space_group_name_Hall '-C 2y'
loop_
_atom_site_label
_atom_site_type_symbol
_atom_site_fract_x
_atom_site_fract_y
_atom_site_fract_z
La1 La 0.000 0.000 0.000
Tb1 Tb 0.000 0.163 0.500
Tb2 Tb 0.000 0.333 0.000
Tb3 Tb 0.000 0.500 0.500
S1 S 0.241 0.500 0.253
S2 S 0.243 0.328 0.743
# E_form (uncorrected) (eV/f.u.): -24.397